Entry 1:
Entry from Alexandria: crystalline AlGaAu2 at its relaxed geometry (GGA-PBE).

Properties
density of states at the Fermi level	1.6	states/eV per cell
total moment	0.00	μB/f.u.
calculated formation energy	-222	meV per atom
VASP energy	-3.55	eV/atom

Cell lengths 8.263, 8.263, 8.263 Å; angles 22.34, 22.34, 22.34 degrees
Positions (direct):
Al 0.000 0.000 0.000
Ga 0.500 0.500 0.500
Au 0.254 0.254 0.254
Au 0.746 0.746 0.746

=====

Entry 2:
Entry from Alexandria: crystalline CeErAsP at its relaxed geometry (GGA-PBE).

Properties
density of states at the Fermi level	5.1	states/eV per cell
total moment	0.58	μB/f.u.
calculated formation energy	-1510	meV per atom
VASP energy	-6.65	eV/atom

Cell lengths 7.071, 7.071, 7.071 Å; angles 33.61, 33.61, 33.61 degrees
Positions (direct):
Ce 0.000 0.000 0.000
Er 0.505 0.505 0.505
As 0.755 0.755 0.755
P 0.250 0.250 0.250

=====

Entry 3:
Entry from Alexandria: crystalline Be2CdSn at its relaxed geometry (GGA-PBE).

Properties
distance to the lowest polymorph of the same formula	0.343	eV/f.u.
density of states at the Fermi level	1.6	states/eV per cell
total moment	0.00	μB/f.u.
calculated formation energy	658	meV per atom
VASP energy	-2.44	eV/atom

Cell lengths 4.584, 4.584, 4.584 Å; angles 60.00, 60.00, 60.00 degrees
Positions (direct):
Be 0.250 0.250 0.250
Be 0.750 0.750 0.750
Cd 0.000 0.000 0.000
Sn 0.500 0.500 0.500

=====

Entry 4:
Entry from Alexandria: crystalline Tb12Dy6Sc at its relaxed geometry (GGA-PBE).

Properties
distance to the lowest polymorph of the same formula	4.910	eV/f.u.
density of states at the Fermi level	34.9	states/eV per cell
total moment	0.00	μB/f.u.
calculated formation energy	411	meV per atom
VASP energy	-4.30	eV/atom

Cell lengths 9.610, 9.610, 9.610 Å; angles 110.99, 110.99, 110.99 degrees
Positions (direct):
Tb 0.000 0.390 0.610
Tb 0.000 0.610 0.390
Tb 0.251 0.251 0.502
Tb 0.251 0.502 0.251
Tb 0.390 0.000 0.610
Tb 0.390 0.610 0.000
Tb 0.498 0.749 0.749
Tb 0.502 0.251 0.251
Tb 0.610 0.000 0.390
Tb 0.610 0.390 0.000
Tb 0.749 0.498 0.749
Tb 0.749 0.749 0.498
Dy 0.143 0.143 0.761
Dy 0.143 0.761 0.143
Dy 0.239 0.857 0.857
Dy 0.761 0.143 0.143
Dy 0.857 0.239 0.857
Dy 0.857 0.857 0.239
Sc 0.500 0.500 0.500

=====

Entry 5:
Entry from Alexandria: crystalline W3Br at its relaxed geometry (GGA-PBE).

Properties
distance to the lowest polymorph of the same formula	2.169	eV/f.u.
formation energy (no corrections)	1.276	eV per atom
density of states at the Fermi level	4.2	states/eV per cell
total moment	0.00	μB/f.u.
VASP energy	-8.86	eV/atom

Cell lengths 4.572, 4.572, 4.572 Å; angles 60.00, 60.00, 60.00 degrees
Positions (direct):
W 0.000 0.000 0.000
W 0.250 0.250 0.250
W 0.750 0.750 0.750
Br 0.500 0.500 0.500

=====

Entry 6:
Entry from Alexandria: crystalline AlCo2Si at its relaxed geometry (GGA-PBE).

Properties
formation energy (no corrections)	0.026	eV per atom
density of states at the Fermi level	5.0	states/eV per cell
total moment	0.00	μB/f.u.
VASP energy	-5.82	eV/atom

Cell lengths 5.164, 5.164, 5.164 Å; angles 104.89, 104.89, 119.08 degrees
Positions (direct):
Al 0.000 0.000 0.000
Al 0.750 0.250 0.500
Co 0.163 0.625 0.038
Co 0.375 0.413 0.538
Co 0.587 0.125 0.962
Co 0.875 0.837 0.462
Si 0.250 0.750 0.500
Si 0.500 0.500 0.000

=====

Entry 7:
Entry from Alexandria: crystalline Li3Dy2Hg4 at its relaxed geometry (GGA-PBE).

Properties
distance to the lowest polymorph of the same formula	0.060	eV/f.u.
density of states at the Fermi level	11.1	states/eV per cell
total moment	0.00	μB/f.u.
calculated formation energy	-361	meV per atom
VASP energy	-2.16	eV/atom

Cell lengths 8.373, 8.373, 8.260 Å; angles 90.00, 90.00, 137.92 degrees
Positions (direct):
Li 0.000 0.000 0.000
Li 0.033 0.467 0.250
Li 0.467 0.033 0.750
Li 0.500 0.500 0.500
Li 0.533 0.967 0.250
Li 0.967 0.533 0.750
Dy 0.115 0.885 0.418
Dy 0.385 0.615 0.918
Dy 0.615 0.385 0.082
Dy 0.885 0.115 0.582
Hg 0.183 0.817 0.040
Hg 0.204 0.296 0.250
Hg 0.296 0.204 0.750
Hg 0.317 0.683 0.540
Hg 0.683 0.317 0.460
Hg 0.704 0.796 0.250
Hg 0.796 0.704 0.750
Hg 0.817 0.183 0.960

=====

Entry 8:
Entry from Alexandria: crystalline TmHfTl2 at its relaxed geometry (GGA-PBE).

Properties
distance to the lowest polymorph of the same formula	0.000	eV/f.u.
density of states at the Fermi level	4.1	states/eV per cell
total moment	0.00	μB/f.u.
calculated formation energy	-17	meV per atom
VASP energy	-4.81	eV/atom

Cell lengths 4.761, 4.761, 4.292 Å; angles 90.00, 90.00, 90.00 degrees
Positions (direct):
Tm 0.000 0.000 0.000
Hf 0.500 0.500 0.000
Tl 0.000 0.500 0.500
Tl 0.500 0.000 0.500